# ScAlGe2Se

ScAlGe2Se after structural relaxation (PBE-GGA, Alexandria).

Calculated values
size of the total moment = 0.00 Bohr magnetons per cell
E_form (uncorrected) = 288 meV per atom

abc: 5.2193 5.2193 5.0312
angles: 90.00 90.00 90.00
Closest atoms and distances in Å follow each position.
Sites, in units of the cell vectors:
Sc: 0.0000 0.0000 0.0000  2 Se 2.52, 4 Ge 2.61
Al: 0.5000 0.5000 0.5000  8 Ge 3.62, 4 Se 3.69
Ge: 0.0000 0.5000 0.0000  2 Sc 2.61
Ge: 0.5000 0.0000 0.0000  2 Sc 2.61
Se: 0.0000 0.0000 0.5000  2 Sc 2.52

# ScAlGeSe2

ScAlGeSe2 after structural relaxation (PBE-GGA, Alexandria).

Calculated values
size of the total moment = 0.00 Bohr magnetons per cell
E_form (uncorrected) = 286 meV per atom

abc: 5.1258 5.1258 5.0832
angles: 90.00 90.00 90.00
Closest atoms and distances in Å follow each position.
Sites, in units of the cell vectors:
Sc: 0.0000 0.0000 0.0000  2 Ge 2.54
Al: 0.5000 0.5000 0.0000  8 Se 3.61, 4 Sc 3.62
Ge: 0.0000 0.0000 0.5000  2 Sc 2.54, 4 Se 2.56
Se: 0.0000 0.5000 0.5000  2 Ge 2.56
Se: 0.5000 0.0000 0.5000  2 Ge 2.56

What are the calculated total energy values for these records? In order: -21.352, -20.229 eV per cell.